No. 1
A relaxed Nd12Tl3N5 crystal, computed with PBE-GGA.

Cell: 14.1059 14.1059 14.1059 Å, 109.47 109.47 109.47°
Fractional coordinates of all 80 atoms:
1 N 0.0000 0.0000 0.0000
2 Nd 0.9028 0.0877 0.8907
3 Nd 0.1849 0.0877 0.6970
4 N 0.8750 0.6250 0.7500
5 Nd 0.4123 0.3030 0.3151
6 Nd 0.8151 0.9028 0.0121
7 N 0.0000 0.5000 0.0000
8 Nd 0.4879 0.6849 0.0972
9 Nd 0.0972 0.1849 0.4879
10 Tl 0.6250 0.2500 0.3750
11 Nd 0.6849 0.1970 0.5877
12 N 0.7500 0.1250 0.8750
13 Tl 0.7500 0.8750 0.6250
14 Nd 0.5877 0.8907 0.4028
15 Nd 0.3907 0.4028 0.0877
16 Nd 0.8030 0.4879 0.3907
17 Nd 0.3030 0.8907 0.9879
18 Nd 0.4028 0.0121 0.3151
19 N 0.7500 0.6250 0.3750
20 Tl 0.8750 0.1250 0.2500
21 N 0.1250 0.3750 0.2500
22 Nd 0.5972 0.9879 0.6849
23 Tl 0.3750 0.7500 0.6250
24 Nd 0.0972 0.9123 0.1093
25 N 0.5000 0.5000 0.0000
26 Nd 0.1093 0.6970 0.5121
27 Tl 0.6250 0.3750 0.7500
28 Nd 0.5121 0.1970 0.1093
29 Nd 0.5121 0.3151 0.9028
30 N 0.0000 0.5000 0.5000
31 N 0.2500 0.8750 0.1250
32 Nd 0.6970 0.5877 0.1849
33 Nd 0.8907 0.5877 0.9028
34 Nd 0.4879 0.8030 0.8907
35 Nd 0.6970 0.1093 0.0121
36 Tl 0.2500 0.6250 0.8750
37 N 0.8750 0.2500 0.6250
38 Tl 0.7500 0.3750 0.1250
39 Nd 0.6093 0.0121 0.1970
40 N 0.0000 0.0000 0.5000
41 Nd 0.9123 0.0972 0.6093
42 Nd 0.5877 0.6970 0.6849
43 N 0.3750 0.2500 0.1250
44 Nd 0.0121 0.4028 0.8151
45 Nd 0.6849 0.4879 0.5972
46 Tl 0.1250 0.8750 0.7500
47 Nd 0.4028 0.3907 0.5877
48 Nd 0.0877 0.9028 0.3907
49 Nd 0.3151 0.8030 0.4123
50 Nd 0.1970 0.5121 0.6093
51 Nd 0.9879 0.5972 0.1849
52 Nd 0.8907 0.3030 0.4879
53 N 0.5000 0.0000 0.5000
54 Tl 0.3750 0.6250 0.2500
55 N 0.6250 0.8750 0.2500
56 Nd 0.1970 0.6849 0.0877
57 Nd 0.8151 0.9123 0.3030
58 Nd 0.0877 0.1849 0.1970
59 Nd 0.9028 0.8151 0.5121
60 N 0.2500 0.3750 0.6250
61 Nd 0.3030 0.4123 0.8151
62 Nd 0.9879 0.3907 0.3030
63 Nd 0.3907 0.9879 0.8030
64 Nd 0.1093 0.4123 0.0972
65 Nd 0.4123 0.1093 0.5972
66 N 0.1250 0.7500 0.3750
67 Nd 0.1849 0.0972 0.9879
68 Tl 0.1250 0.2500 0.8750
69 N 0.5000 0.0000 0.0000
70 Nd 0.9123 0.8151 0.8030
71 Nd 0.8030 0.3151 0.9123
72 Nd 0.3151 0.5121 0.4028
73 N 0.6250 0.7500 0.8750
74 Nd 0.0121 0.6093 0.6970
75 Tl 0.8750 0.7500 0.1250
76 N 0.5000 0.5000 0.5000
77 Nd 0.6093 0.5972 0.9123
78 N 0.3750 0.1250 0.7500
79 Nd 0.5972 0.6093 0.4123
80 Tl 0.2500 0.1250 0.3750

Summary:
energy relative to the elements, uncorrected = -0.701 eV/atom
total moment = 0.00 μB/cell
Fermi-level density of states = 18.0 states/eV/f.u.

***

No. 2
A relaxed Nd6Tl2N crystal, computed with PBE-GGA.

Cell: 7.1580 7.1580 7.1585 Å, 60.00 60.00 60.01°
Fractional coordinates of all 9 atoms:
1 Nd 0.2557 0.2557 0.7436
2 Nd 0.7443 0.7443 0.2564
3 Nd 0.2556 0.7439 0.7445
4 Nd 0.2561 0.7444 0.2555
5 Tl 0.7500 0.7500 0.7502
6 N 0.5000 0.5000 0.5000
7 Nd 0.7444 0.2561 0.2555
8 Tl 0.2500 0.2500 0.2498
9 Nd 0.7439 0.2556 0.7445

Summary:
energy relative to the elements, uncorrected = -0.503 eV/atom
total moment = 0.00 μB/cell
Fermi-level density of states = 6.4 states/eV/f.u.

***

Repeat the first record exactly.
A relaxed Nd12Tl3N5 crystal, computed with PBE-GGA.

Cell: 14.1059 14.1059 14.1059 Å, 109.47 109.47 109.47°
Fractional coordinates of all 80 atoms:
1 N 0.0000 0.0000 0.0000
2 Nd 0.9028 0.0877 0.8907
3 Nd 0.1849 0.0877 0.6970
4 N 0.8750 0.6250 0.7500
5 Nd 0.4123 0.3030 0.3151
6 Nd 0.8151 0.9028 0.0121
7 N 0.0000 0.5000 0.0000
8 Nd 0.4879 0.6849 0.0972
9 Nd 0.0972 0.1849 0.4879
10 Tl 0.6250 0.2500 0.3750
11 Nd 0.6849 0.1970 0.5877
12 N 0.7500 0.1250 0.8750
13 Tl 0.7500 0.8750 0.6250
14 Nd 0.5877 0.8907 0.4028
15 Nd 0.3907 0.4028 0.0877
16 Nd 0.8030 0.4879 0.3907
17 Nd 0.3030 0.8907 0.9879
18 Nd 0.4028 0.0121 0.3151
19 N 0.7500 0.6250 0.3750
20 Tl 0.8750 0.1250 0.2500
21 N 0.1250 0.3750 0.2500
22 Nd 0.5972 0.9879 0.6849
23 Tl 0.3750 0.7500 0.6250
24 Nd 0.0972 0.9123 0.1093
25 N 0.5000 0.5000 0.0000
26 Nd 0.1093 0.6970 0.5121
27 Tl 0.6250 0.3750 0.7500
28 Nd 0.5121 0.1970 0.1093
29 Nd 0.5121 0.3151 0.9028
30 N 0.0000 0.5000 0.5000
31 N 0.2500 0.8750 0.1250
32 Nd 0.6970 0.5877 0.1849
33 Nd 0.8907 0.5877 0.9028
34 Nd 0.4879 0.8030 0.8907
35 Nd 0.6970 0.1093 0.0121
36 Tl 0.2500 0.6250 0.8750
37 N 0.8750 0.2500 0.6250
38 Tl 0.7500 0.3750 0.1250
39 Nd 0.6093 0.0121 0.1970
40 N 0.0000 0.0000 0.5000
41 Nd 0.9123 0.0972 0.6093
42 Nd 0.5877 0.6970 0.6849
43 N 0.3750 0.2500 0.1250
44 Nd 0.0121 0.4028 0.8151
45 Nd 0.6849 0.4879 0.5972
46 Tl 0.1250 0.8750 0.7500
47 Nd 0.4028 0.3907 0.5877
48 Nd 0.0877 0.9028 0.3907
49 Nd 0.3151 0.8030 0.4123
50 Nd 0.1970 0.5121 0.6093
51 Nd 0.9879 0.5972 0.1849
52 Nd 0.8907 0.3030 0.4879
53 N 0.5000 0.0000 0.5000
54 Tl 0.3750 0.6250 0.2500
55 N 0.6250 0.8750 0.2500
56 Nd 0.1970 0.6849 0.0877
57 Nd 0.8151 0.9123 0.3030
58 Nd 0.0877 0.1849 0.1970
59 Nd 0.9028 0.8151 0.5121
60 N 0.2500 0.3750 0.6250
61 Nd 0.3030 0.4123 0.8151
62 Nd 0.9879 0.3907 0.3030
63 Nd 0.3907 0.9879 0.8030
64 Nd 0.1093 0.4123 0.0972
65 Nd 0.4123 0.1093 0.5972
66 N 0.1250 0.7500 0.3750
67 Nd 0.1849 0.0972 0.9879
68 Tl 0.1250 0.2500 0.8750
69 N 0.5000 0.0000 0.0000
70 Nd 0.9123 0.8151 0.8030
71 Nd 0.8030 0.3151 0.9123
72 Nd 0.3151 0.5121 0.4028
73 N 0.6250 0.7500 0.8750
74 Nd 0.0121 0.6093 0.6970
75 Tl 0.8750 0.7500 0.1250
76 N 0.5000 0.5000 0.5000
77 Nd 0.6093 0.5972 0.9123
78 N 0.3750 0.1250 0.7500
79 Nd 0.5972 0.6093 0.4123
80 Tl 0.2500 0.1250 0.3750

Summary:
energy relative to the elements, uncorrected = -0.701 eV/atom
total moment = 0.00 μB/cell
Fermi-level density of states = 18.0 states/eV/f.u.